Entry 1:
The following is a DFT calculation (GGA-PBE) of HoPd12Pt7 after structural relaxation.

Geometry as POSCAR:
```
HoPd12Pt7
1.0
-4.711 4.711 4.711
4.711 -4.711 4.711
4.711 4.711 -4.711
Ho Pd Pt
1 12 7
direct
0.000 0.000 0.000
0.124 0.269 0.854
0.146 0.415 0.269
0.146 0.876 0.731
0.269 0.146 0.415
0.269 0.854 0.124
0.415 0.269 0.146
0.585 0.731 0.854
0.731 0.146 0.876
0.731 0.854 0.585
0.854 0.124 0.269
0.854 0.585 0.731
0.876 0.731 0.146
0.000 0.000 0.500
0.000 0.500 0.000
0.000 0.500 0.500
0.500 0.000 0.000
0.500 0.000 0.500
0.500 0.500 0.000
0.500 0.500 0.500
```

Values from the calculation:
- Symmetry: Im-3 (204)
- Magnetic moment: 0.000 μB/f.u.
- ρ: 11.15 Mg/m³
- Energy: -99.564 eV per cell
- Crystal system: cubic

---

Entry 2:
The following is a DFT calculation (GGA-PBE) of HoPd2Pt2 after structural relaxation.

Geometry as POSCAR:
```
HoPd2Pt2
1.0
4.710 0.000 0.000
-2.355 4.079 0.000
0.000 0.000 10.676
Ho Pd Pt
2 4 4
direct
0.000 0.000 0.250
0.000 0.000 0.750
0.333 0.667 0.001
0.333 0.667 0.499
0.667 0.333 0.501
0.667 0.333 0.999
0.000 0.000 0.000
0.000 0.000 0.500
0.333 0.667 0.250
0.667 0.333 0.750
```

Values from the calculation:
- Symmetry: P6_3/mmc (194)
- Magnetic moment: 0.000 μB/f.u.
- ρ: 12.43 Mg/m³
- Energy: -57.859 eV per cell
- Crystal system: hexagonal

---

Entry 3:
The following is a DFT calculation (GGA-PBE) of Ho2Pd2Pt after structural relaxation.

Geometry as POSCAR:
```
Ho2Pd2Pt
1.0
3.792 -2.200 0.000
3.792 2.200 0.000
-2.536 0.000 6.525
Ho Pd Pt
2 2 1
direct
0.092 0.092 0.278
0.908 0.908 0.722
0.356 0.356 0.068
0.644 0.644 0.932
0.500 0.500 0.500
```

Values from the calculation:
- Symmetry: C2/m (12)
- Magnetic moment: 0.000 μB/f.u.
- ρ: 11.25 Mg/m³
- Energy: -30.215 eV per cell
- Crystal system: monoclinic

---

Entry 4:
The following is a DFT calculation (GGA-PBE) of HoPd5Pt2 after structural relaxation.

Geometry as POSCAR:
```
HoPd5Pt2
1.0
-3.517 3.517 5.511
3.517 -3.517 5.511
3.517 3.517 -5.511
Ho Pd Pt
2 10 4
direct
0.250 0.250 0.000
0.750 0.750 0.000
0.000 0.000 0.000
0.016 0.516 0.204
0.188 0.984 0.500
0.312 0.812 0.796
0.484 0.688 0.500
0.500 0.500 0.000
0.516 0.312 0.500
0.688 0.188 0.204
0.812 0.016 0.500
0.984 0.484 0.796
0.145 0.355 0.500
0.355 0.855 0.210
0.645 0.145 0.790
0.855 0.645 0.500
```

Values from the calculation:
- Symmetry: I4/mcm (140)
- Magnetic moment: 0.000 μB/f.u.
- ρ: 13.24 Mg/m³
- Energy: -89.813 eV per cell
- Crystal system: tetragonal

---

Entry 5:
The following is a DFT calculation (GGA-PBE) of HoPd6Pt6 after structural relaxation.

Geometry as POSCAR:
```
HoPd6Pt6
1.0
-2.658 4.524 4.589
2.658 -4.524 4.589
2.658 4.524 -4.589
Ho Pd Pt
1 6 6
direct
0.000 0.000 0.000
0.197 0.697 0.500
0.343 0.000 0.343
0.346 0.346 0.000
0.654 0.654 0.000
0.657 0.000 0.657
0.803 0.303 0.500
0.000 0.000 0.500
0.000 0.500 0.000
0.229 0.500 0.729
0.500 0.000 0.000
0.500 0.500 0.500
0.771 0.500 0.271
```

Values from the calculation:
- Symmetry: Immm (71)
- Magnetic moment: 0.000 μB/f.u.
- ρ: 14.85 Mg/m³
- Energy: -75.800 eV per cell
- Crystal system: orthorhombic

---

Entry 6:
The following is a DFT calculation (GGA-PBE) of Ho2Pd3Pt after structural relaxation.

Geometry as POSCAR:
```
Ho2Pd3Pt
1.0
-3.705 4.184 4.313
3.705 -4.184 4.313
3.705 4.184 -4.313
Ho Pd Pt
4 6 2
direct
0.191 0.200 0.391
0.309 0.700 0.009
0.691 0.300 0.991
0.809 0.800 0.609
0.071 0.750 0.321
0.250 0.250 0.000
0.429 0.750 0.679
0.571 0.250 0.321
0.750 0.750 0.000
0.929 0.250 0.679
0.000 0.500 0.500
0.500 0.000 0.500
```

Values from the calculation:
- Symmetry: Ibam (72)
- Magnetic moment: 0.000 μB/f.u.
- ρ: 10.48 Mg/m³
- Energy: -68.998 eV per cell
- Crystal system: orthorhombic

---

Entry 7:
The following is a DFT calculation (GGA-PBE) of Ho4Pd2Pt after structural relaxation.

Geometry as POSCAR:
```
Ho4Pd2Pt
1.0
2.444 1.411 8.048
-2.444 1.411 8.048
0.000 -2.822 8.048
Ho Pd Pt
4 2 1
direct
0.125 0.125 0.125
0.375 0.375 0.375
0.625 0.625 0.625
0.875 0.875 0.875
0.248 0.248 0.248
0.752 0.752 0.752
0.000 0.000 0.000
```

Values from the calculation:
- Symmetry: R-3m (166)
- Magnetic moment: 0.000 μB/f.u.
- ρ: 10.65 Mg/m³
- Energy: -40.724 eV per cell
- Crystal system: trigonal

---

Entry 8:
The following is a DFT calculation (GGA-PBE) of Ho2Pd5Pt after structural relaxation.

Geometry as POSCAR:
```
Ho2Pd5Pt
1.0
5.807 0.000 0.000
0.000 11.619 0.000
0.000 0.000 4.119
Ho Pd Pt
4 10 2
direct
0.249 0.125 0.000
0.251 0.625 0.000
0.749 0.375 0.000
0.751 0.875 0.000
0.000 0.000 0.500
0.002 0.750 0.500
0.248 0.375 0.000
0.252 0.875 0.000
0.498 0.250 0.500
0.500 0.500 0.500
0.502 0.750 0.500
0.748 0.125 0.000
0.752 0.625 0.000
0.998 0.250 0.500
0.000 0.500 0.500
0.500 0.000 0.500
```

Values from the calculation:
- Symmetry: Pbam (55)
- Magnetic moment: 0.000 μB/f.u.
- ρ: 12.63 Mg/m³
- Energy: -97.142 eV per cell
- Crystal system: orthorhombic